# 1
DFT (PBE) results for an optimized crystal structure of Pm2RuI.

The crystal system is trigonal. As for the volume: 30.0 Å³/atom. The calculation puts the formation energy from raw total energies at -0.6135 eV/atom. For the density of states at the Fermi level, the calculation gives 0.628 states/eV/atom. The energy above the most stable polymorph in this dataset comes out at 0 meV/atom.

a = 8.4410 Å, b = 8.4410 Å, c = 8.4410 Å
α = 28.38°, β = 28.38°, γ = 28.38°
With the nearest neighbours (Å) after each atom.
Atoms (fractional coordinates):
Pm: 0.2283 0.2283 0.2283  3 Ru 2.82
Pm: 0.7717 0.7717 0.7717  3 Ru 2.82
Ru: 0.5000 0.5000 0.5000  6 Pm 2.82
I: 0.0000 0.0000 0.0000  6 Pm 3.50

***

# 2
DFT (PBE) results for an optimized crystal structure of SmMn10Si2.

The crystal system is orthorhombic. As for the volume: 12.5 Å³/atom. The calculation puts the formation energy from raw total energies at -0.1664 eV/atom. For the density of states at the Fermi level, the calculation gives 1.024 states/eV/atom.

a = 6.3540 Å, b = 6.3540 Å, c = 8.1332 Å
α = 90.00°, β = 90.00°, γ = 98.72°
With the nearest neighbours (Å) after each atom.
Atoms (fractional coordinates):
Sm: 0.1282 0.8718 0.7500  16 Mn 2.96-3.19, 4 Si 3.13
Sm: 0.8718 0.1282 0.2500  16 Mn 2.96-3.19, 4 Si 3.13
Mn: 0.1258 0.3698 0.7500  7 Mn 2.36-2.59, 2 Si 2.38
Mn: 0.1762 0.8238 0.1096  4 Mn 2.28-2.54, 2 Si 2.36
Mn: 0.1762 0.8238 0.3904  4 Mn 2.28-2.54, 2 Si 2.36
Mn: 0.2200 0.2200 0.0000  6 Mn 2.36-2.60, 2 Si 2.42
Mn: 0.2200 0.2200 0.5000  6 Mn 2.36-2.60, 2 Si 2.42
Mn: 0.2585 0.4776 0.2500  2 Mn 2.18-2.44
Mn: 0.3698 0.1258 0.2500  7 Mn 2.36-2.59, 2 Si 2.38
Mn: 0.3956 0.6044 0.5637  1 Mn 2.26
Mn: 0.3956 0.6044 0.9363  1 Mn 2.26
Mn: 0.4776 0.2585 0.7500  2 Mn 2.18-2.44
Mn: 0.5224 0.7415 0.2500  2 Mn 2.18-2.44
Mn: 0.6044 0.3956 0.0637  1 Mn 2.26
Mn: 0.6044 0.3956 0.4363  1 Mn 2.26
Mn: 0.6302 0.8742 0.7500  7 Mn 2.36-2.59, 2 Si 2.38
Mn: 0.7415 0.5224 0.7500  2 Mn 2.18-2.44
Mn: 0.7800 0.7800 0.0000  6 Mn 2.36-2.60, 2 Si 2.42
Mn: 0.7800 0.7800 0.5000  6 Mn 2.36-2.60, 2 Si 2.42
Mn: 0.8238 0.1762 0.6096  4 Mn 2.28-2.54, 2 Si 2.36
Mn: 0.8238 0.1762 0.8904  4 Mn 2.28-2.54, 2 Si 2.36
Mn: 0.8742 0.6302 0.2500  7 Mn 2.36-2.59, 2 Si 2.38
Si: 0.0000 0.5000 0.0000  10 Mn 2.36-2.63
Si: 0.0000 0.5000 0.5000  10 Mn 2.36-2.63
Si: 0.5000 0.0000 0.0000  10 Mn 2.36-2.63
Si: 0.5000 0.0000 0.5000  10 Mn 2.36-2.63

***

# 3
DFT (PBE) results for an optimized crystal structure of LiPm5Al4.

Its formation energy is -292 meV per atom. The crystal system is tetragonal. As for the volume: 25.8 Å³/atom. For the density of states at the Fermi level, the calculation gives 0.340 states/eV/atom.

a = 3.6877 Å, b = 3.6877 Å, c = 18.9648 Å
α = 90.00°, β = 90.00°, γ = 90.00°
With the nearest neighbours (Å) after each atom.
Atoms (fractional coordinates):
Li: 0.0000 0.0000 0.0000  8 Pm 3.35, 4 Li 3.69
Pm: 0.5000 0.5000 0.1105  4 Al 3.15, 4 Li 3.35
Pm: 0.5000 0.5000 0.3047  8 Al 3.20-3.24
Pm: 0.5000 0.5000 0.5000  8 Al 3.20
Pm: 0.5000 0.5000 0.6953  8 Al 3.20-3.24
Pm: 0.5000 0.5000 0.8895  4 Al 3.15, 4 Li 3.35
Al: 0.0000 0.0000 0.2036  8 Pm 3.15-3.24
Al: 0.0000 0.0000 0.4022  8 Pm 3.20
Al: 0.0000 0.0000 0.5978  8 Pm 3.20
Al: 0.0000 0.0000 0.7964  8 Pm 3.15-3.24

***

# 4
DFT (PBE) results for an optimized crystal structure of Fe3PPb.

Its formation energy is 421 meV per atom. The crystal system is cubic. As for the volume: 14.6 Å³/atom. For the density of states at the Fermi level, the calculation gives 1.459 states/eV/atom. The energy above the most stable polymorph in this dataset comes out at 0 meV/atom.

a = 4.1758 Å, b = 4.1758 Å, c = 4.1758 Å
α = 90.00°, β = 90.00°, γ = 90.00°
With the nearest neighbours (Å) after each atom.
Atoms (fractional coordinates):
Fe: 0.0000 0.0000 0.5000  2 P 2.09
Fe: 0.0000 0.5000 0.0000  2 P 2.09
Fe: 0.5000 0.0000 0.0000  2 P 2.09
P: 0.0000 0.0000 0.0000  6 Fe 2.09
Pb: 0.5000 0.5000 0.5000  12 Fe 2.95

***

# 5
DFT (PBE) results for an optimized crystal structure of TcAsW2.

Its formation energy is 331 meV per atom. The crystal system is orthorhombic. As for the volume: 15.9 Å³/atom. For the density of states at the Fermi level, the calculation gives 1.027 states/eV/atom.

a = 2.8228 Å, b = 2.8228 Å, c = 8.5700 Å
α = 90.00°, β = 90.00°, γ = 111.30°
With the nearest neighbours (Å) after each atom.
Atoms (fractional coordinates):
Tc: 0.0000 0.0000 0.0000  2 W 2.64, 2 As 2.66, 4 Tc 2.82
As: 0.5000 0.5000 0.2479  2 Tc 2.66, 2 W 2.67, 4 As 2.82
W: 0.0000 0.0000 0.4983  2 As 2.67, 6 W 2.71-2.82
W: 0.5000 0.5000 0.7544  2 Tc 2.64, 6 W 2.71-2.82

***

# 6
DFT (PBE) results for an optimized crystal structure of Na2Cu5Sb4.

The crystal system is orthorhombic. As for the volume: 23.0 Å³/atom. The calculation puts the formation energy from raw total energies at 0.0255 eV/atom. For the density of states at the Fermi level, the calculation gives 0.313 states/eV/atom.

a = 9.7173 Å, b = 7.8729 Å, c = 6.8683 Å
α = 82.17°, β = 53.38°, γ = 44.44°
With the nearest neighbours (Å) after each atom.
Atoms (fractional coordinates):
Na: 0.1452 0.8548 0.1452  2 Cu 3.27, 6 Sb 3.41-3.52, 1 Na 3.66
Na: 0.8548 0.1452 0.8548  2 Cu 3.27, 6 Sb 3.41-3.52, 1 Na 3.66
Cu: 0.0000 0.5000 0.0000  4 Sb 2.68, 2 Cu 2.71
Cu: 0.2500 0.2500 0.2500  4 Sb 2.62, 2 Cu 2.71
Cu: 0.5000 0.0000 0.5000  4 Sb 2.68, 2 Cu 2.71
Cu: 0.5000 0.5000 0.5000  4 Sb 2.63
Cu: 0.7500 0.7500 0.7500  4 Sb 2.62, 2 Cu 2.71
Sb: 0.2316 0.4897 0.5103  5 Cu 2.62-2.68
Sb: 0.4897 0.2316 0.7684  5 Cu 2.62-2.68
Sb: 0.5103 0.7684 0.2316  5 Cu 2.62-2.68
Sb: 0.7684 0.5103 0.4897  5 Cu 2.62-2.68

***

# 7
DFT (PBE) results for an optimized crystal structure of TbInGa4.

Its formation energy is -232 meV per atom. The crystal system is cubic. As for the volume: 20.7 Å³/atom. For the density of states at the Fermi level, the calculation gives 0.761 states/eV/atom. The energy above the most stable polymorph in this dataset comes out at 0 meV/atom.

a = 5.6001 Å, b = 5.6001 Å, c = 5.6001 Å
α = 60.00°, β = 60.00°, γ = 60.00°
With the nearest neighbours (Å) after each atom.
Atoms (fractional coordinates):
Tb: 0.0000 0.0000 0.0000  12 Ga 3.28, 4 In 3.43
In: 0.7500 0.7500 0.7500  12 Ga 3.28, 4 Tb 3.43
Ga: 0.3747 0.3747 0.3747  6 Ga 2.79-2.81
Ga: 0.3747 0.3747 0.8759  6 Ga 2.79-2.81
Ga: 0.3747 0.8759 0.3747  6 Ga 2.79-2.81
Ga: 0.8759 0.3747 0.3747  6 Ga 2.79-2.81

***

# 8
DFT (PBE) results for an optimized crystal structure of BeV2Se4.

The crystal system is cubic. As for the volume: 19.4 Å³/atom. The calculation puts the formation energy from raw total energies at -0.6603 eV/atom. For the density of states at the Fermi level, the calculation gives 1.021 states/eV/atom.

a = 7.2691 Å, b = 7.2691 Å, c = 7.2691 Å
α = 60.00°, β = 60.00°, γ = 60.00°
With the nearest neighbours (Å) after each atom.
Atoms (fractional coordinates):
Be: 0.1250 0.1250 0.1250  4 Se 2.25
Be: 0.8750 0.8750 0.8750  4 Se 2.25
V: 0.0000 0.5000 0.5000  6 Se 2.56
V: 0.5000 0.0000 0.5000  6 Se 2.56
V: 0.5000 0.5000 0.0000  6 Se 2.56
V: 0.5000 0.5000 0.5000  6 Se 2.56
Se: 0.2514 0.2514 0.2514  1 Be 2.25
Se: 0.2514 0.2514 0.7459  1 Be 2.25
Se: 0.2514 0.7459 0.2514  1 Be 2.25
Se: 0.2541 0.7486 0.7486  1 Be 2.25
Se: 0.7459 0.2514 0.2514  1 Be 2.25
Se: 0.7486 0.2541 0.7486  1 Be 2.25
Se: 0.7486 0.7486 0.2541  1 Be 2.25
Se: 0.7486 0.7486 0.7486  1 Be 2.25

***

# 9
DFT (PBE) results for an optimized crystal structure of LaTc4C2.

Its formation energy is 38 meV per atom. The crystal system is orthorhombic. As for the volume: 15.5 Å³/atom. For the density of states at the Fermi level, the calculation gives 0.403 states/eV/atom.

a = 7.2994 Å, b = 7.2994 Å, c = 3.9135 Å
α = 90.00°, β = 90.00°, γ = 148.55°
With the nearest neighbours (Å) after each atom.
Atoms (fractional coordinates):
La: 0.0000 0.0000 0.0000  8 Tc 3.19-3.29, 8 C 3.35
Tc: 0.1792 0.8208 0.5000  2 C 2.08
Tc: 0.3130 0.6870 0.0000  2 C 2.10
Tc: 0.6870 0.3130 0.0000  2 C 2.10
Tc: 0.8208 0.1792 0.5000  2 C 2.08
C: 0.3673 0.6327 0.5000  4 Tc 2.08-2.10
C: 0.6327 0.3673 0.5000  4 Tc 2.08-2.10

***

# 10
DFT (PBE) results for an optimized crystal structure of Cd3GaSi.

The crystal system is cubic. As for the volume: 27.2 Å³/atom. The calculation puts the formation energy from raw total energies at 0.4490 eV/atom. For the density of states at the Fermi level, the calculation gives 0.599 states/eV/atom. The energy above the most stable polymorph in this dataset comes out at 0 meV/atom.

a = 5.1410 Å, b = 5.1410 Å, c = 5.1410 Å
α = 90.00°, β = 90.00°, γ = 90.00°
With the nearest neighbours (Å) after each atom.
Atoms (fractional coordinates):
Cd: 0.0000 0.0000 0.5000  2 Si 2.57
Cd: 0.0000 0.5000 0.0000  2 Si 2.57
Cd: 0.5000 0.0000 0.0000  2 Si 2.57
Ga: 0.5000 0.5000 0.5000  12 Cd 3.64
Si: 0.0000 0.0000 0.0000  6 Cd 2.57

***

# 11
DFT (PBE) results for an optimized crystal structure of Ni2AsPb.

Its formation energy is -20 meV per atom. The crystal system is monoclinic. As for the volume: 18.4 Å³/atom. For the density of states at the Fermi level, the calculation gives 0.539 states/eV/atom.

a = 4.3113 Å, b = 4.3113 Å, c = 5.7503 Å
α = 99.92°, β = 99.92°, γ = 44.51°
With the nearest neighbours (Å) after each atom.
Atoms (fractional coordinates):
Ni: 0.0000 0.0000 0.0000  2 As 2.36, 3 Ni 2.57-2.60
Ni: 0.7373 0.7373 0.1984  3 As 2.36-2.38, 3 Ni 2.57-2.60
As: 0.4576 0.4576 0.2795  5 Ni 2.36-2.38
Pb: 0.2475 0.2475 0.7413  3 Ni 2.68-2.80

***

# 12
DFT (PBE) results for an optimized crystal structure of Ac2PrTl.

Its formation energy is -152 meV per atom. The crystal system is monoclinic. As for the volume: 37.6 Å³/atom. For the density of states at the Fermi level, the calculation gives 1.103 states/eV/atom. The energy above the most stable polymorph in this dataset comes out at 0 meV/atom.

a = 12.6195 Å, b = 12.6195 Å, c = 6.2260 Å
α = 102.48°, β = 102.48°, γ = 18.10°
With the nearest neighbours (Å) after each atom.
Atoms (fractional coordinates):
Ac: 0.0571 0.0571 0.3365  6 Tl 3.57-3.80, 2 Pr 3.83, 3 Ac 3.85-3.97
Ac: 0.1798 0.1798 0.8728  2 Tl 3.52, 5 Pr 3.64-3.86
Ac: 0.8202 0.8202 0.1272  2 Tl 3.52, 5 Pr 3.64-3.86
Ac: 0.9429 0.9429 0.6635  6 Tl 3.57-3.80, 2 Pr 3.83, 3 Ac 3.85-3.97
Pr: 0.3098 0.3098 0.6306  7 Ac 3.64-3.86, 4 Pr 3.65-3.97, 1 Tl 3.97
Pr: 0.6902 0.6902 0.3694  7 Ac 3.64-3.86, 4 Pr 3.65-3.97, 1 Tl 3.97
Tl: 0.4376 0.4376 0.1392  8 Ac 3.52-3.80, 1 Tl 3.88
Tl: 0.5624 0.5624 0.8608  8 Ac 3.52-3.80, 1 Tl 3.88

***

Copy entry 3 word for word.
DFT (PBE) results for an optimized crystal structure of LiPm5Al4.

Its formation energy is -292 meV per atom. The crystal system is tetragonal. As for the volume: 25.8 Å³/atom. For the density of states at the Fermi level, the calculation gives 0.340 states/eV/atom.

a = 3.6877 Å, b = 3.6877 Å, c = 18.9648 Å
α = 90.00°, β = 90.00°, γ = 90.00°
With the nearest neighbours (Å) after each atom.
Atoms (fractional coordinates):
Li: 0.0000 0.0000 0.0000  8 Pm 3.35, 4 Li 3.69
Pm: 0.5000 0.5000 0.1105  4 Al 3.15, 4 Li 3.35
Pm: 0.5000 0.5000 0.3047  8 Al 3.20-3.24
Pm: 0.5000 0.5000 0.5000  8 Al 3.20
Pm: 0.5000 0.5000 0.6953  8 Al 3.20-3.24
Pm: 0.5000 0.5000 0.8895  4 Al 3.15, 4 Li 3.35
Al: 0.0000 0.0000 0.2036  8 Pm 3.15-3.24
Al: 0.0000 0.0000 0.4022  8 Pm 3.20
Al: 0.0000 0.0000 0.5978  8 Pm 3.20
Al: 0.0000 0.0000 0.7964  8 Pm 3.15-3.24

***

Which formula does entry 8 have? BeV2Se4